Entry 1:
## Mg14ZnFeO16 (PBEsol)

Data for Mg14ZnFeO16 after structural relaxation.

Computed properties:
Calculated volume   301.9 Å³/cell
ΔE_f (raw)   -2.53 eV per atom

abc: 4.2193 8.4585 8.4585
angles: 90.00 90.00 90.00
Last column: nearest neighbours and their distance in Å.
Fractional coordinates of all 32 atoms:
O 0.0000 0.2466 0.5000  5 Mg 2.09-2.12, 1 Fe 2.14
Mg 0.0000 0.7502 0.2498  6 O 2.11-2.12
Mg 0.0000 0.5000 0.0000  6 O 2.09-2.11
Fe 0.0000 0.5000 0.5000  6 O 2.11-2.14
Zn 0.0000 0.0000 0.0000  6 O 2.11-2.14
Mg 0.5000 0.5000 0.2503  6 O 2.11-2.12
Mg 0.5000 0.7497 0.5000  6 O 2.11-2.12
O 0.5000 0.0000 0.0000  2 Zn 2.11, 4 Mg 2.11
O 0.5000 0.5000 0.0000  6 Mg 2.11-2.12
Mg 0.0000 0.2498 0.2498  6 O 2.11-2.12
O 0.0000 0.5000 0.2466  5 Mg 2.09-2.12, 1 Fe 2.14
O 0.5000 0.5000 0.5000  2 Fe 2.11, 4 Mg 2.11
O 0.5000 0.7500 0.7500  6 Mg 2.11
O 0.0000 0.7534 0.5000  5 Mg 2.09-2.12, 1 Fe 2.14
Mg 0.0000 0.2498 0.7502  6 O 2.11-2.12
Mg 0.5000 0.0000 0.2499  6 O 2.11-2.12
Mg 0.5000 0.0000 0.7501  6 O 2.11-2.12
Mg 0.5000 0.5000 0.7497  6 O 2.11-2.12
O 0.5000 0.7500 0.2500  6 Mg 2.11
O 0.5000 0.2500 0.7500  6 Mg 2.11
Mg 0.0000 0.7502 0.7502  6 O 2.11-2.12
O 0.0000 0.0000 0.2526  5 Mg 2.09-2.11, 1 Zn 2.14
O 0.0000 0.5000 0.7534  5 Mg 2.09-2.12, 1 Fe 2.14
O 0.0000 0.7474 0.0000  5 Mg 2.09-2.11, 1 Zn 2.14
Mg 0.5000 0.2503 0.5000  6 O 2.11-2.12
O 0.0000 0.0000 0.7474  5 Mg 2.09-2.11, 1 Zn 2.14
Mg 0.0000 0.0000 0.5000  6 O 2.09-2.11
O 0.5000 0.2500 0.2500  6 Mg 2.11
O 0.5000 0.0000 0.5000  6 Mg 2.11-2.12
O 0.0000 0.2526 0.0000  5 Mg 2.09-2.11, 1 Zn 2.14
Mg 0.5000 0.2499 0.0000  6 O 2.11-2.12
Mg 0.5000 0.7501 0.0000  6 O 2.11-2.12

***

Entry 2:
## Mg30ZnFeO32 (PBEsol)

Data for Mg30ZnFeO32 after structural relaxation.

Computed properties:
Calculated volume   597.4 Å³/cell
ΔE_f (raw)   -2.63 eV per atom

abc: 8.4217 8.4226 8.4226
angles: 90.00 90.00 90.00
Last column: nearest neighbours and their distance in Å.
Fractional coordinates of all 64 atoms:
O 0.0000 0.2537 0.0000  5 Mg 2.07-2.12, 1 Zn 2.14
Mg 0.0000 0.7483 0.7483  6 O 2.09-2.12
O 0.7504 0.7500 0.7500  6 Mg 2.10-2.11
O 0.7533 0.5000 0.5000  1 Fe 2.08, 5 Mg 2.09-2.13
O 0.7476 0.0000 0.0000  5 Mg 2.09-2.11, 1 Zn 2.13
Mg 0.0000 0.0000 0.5000  6 O 2.07-2.13
O 0.0000 0.7465 0.5000  1 Fe 2.08, 5 Mg 2.09-2.13
Mg 0.2495 0.2501 0.0000  6 O 2.10-2.11
Mg 0.0000 0.7483 0.2517  6 O 2.09-2.12
O 0.5000 0.5000 0.2510  6 Mg 2.10-2.12
Mg 0.5000 0.0000 0.0000  6 O 2.09-2.11
O 0.5000 0.7497 0.0000  6 Mg 2.10-2.11
Mg 0.7520 0.7481 0.5000  6 O 2.09-2.12
Fe 0.0000 0.5000 0.5000  6 O 2.08
O 0.5000 0.0000 0.2503  6 Mg 2.10-2.11
Mg 0.2480 0.2519 0.5000  6 O 2.09-2.12
Mg 0.7505 0.0000 0.7499  6 O 2.10-2.11
Mg 0.5000 0.7498 0.7498  6 O 2.10-2.11
Mg 0.7505 0.0000 0.2501  6 O 2.10-2.11
O 0.0000 0.0000 0.2537  5 Mg 2.07-2.12, 1 Zn 2.14
Mg 0.5000 0.2502 0.7498  6 O 2.10-2.11
Mg 0.7520 0.5000 0.2519  6 O 2.09-2.12
O 0.2467 0.5000 0.5000  1 Fe 2.08, 5 Mg 2.09-2.13
O 0.5000 0.2503 0.0000  6 Mg 2.10-2.11
O 0.7504 0.2500 0.2500  6 Mg 2.10-2.11
Mg 0.2480 0.7481 0.5000  6 O 2.09-2.12
Mg 0.7520 0.5000 0.7481  6 O 2.09-2.12
Mg 0.5000 0.7498 0.2502  6 O 2.10-2.11
O 0.2496 0.2500 0.2500  6 Mg 2.10-2.11
O 0.7504 0.2500 0.7500  6 Mg 2.10-2.11
O 0.5000 0.2510 0.5000  6 Mg 2.10-2.12
Mg 0.5000 0.5000 0.5000  6 O 2.10-2.13
O 0.0000 0.0000 0.7463  5 Mg 2.07-2.12, 1 Zn 2.14
O 0.5000 0.0000 0.7497  6 Mg 2.10-2.11
O 0.5000 0.5000 0.7490  6 Mg 2.10-2.12
O 0.2491 0.5000 0.0000  6 Mg 2.10-2.12
O 0.2524 0.0000 0.0000  5 Mg 2.09-2.11, 1 Zn 2.13
Mg 0.0000 0.2517 0.2517  6 O 2.09-2.12
O 0.2496 0.7500 0.2500  6 Mg 2.10-2.11
Mg 0.5000 0.2502 0.2502  6 O 2.10-2.11
O 0.2491 0.0000 0.5000  6 Mg 2.10-2.12
Mg 0.0000 0.5000 0.0000  6 O 2.07-2.13
O 0.2496 0.7500 0.7500  6 Mg 2.10-2.11
Mg 0.2480 0.5000 0.2519  6 O 2.09-2.12
O 0.7509 0.0000 0.5000  6 Mg 2.10-2.12
O 0.7504 0.7500 0.2500  6 Mg 2.10-2.11
O 0.7509 0.5000 0.0000  6 Mg 2.10-2.12
Mg 0.2495 0.0000 0.2501  6 O 2.10-2.11
Mg 0.2495 0.7499 0.0000  6 O 2.10-2.11
Mg 0.5000 0.5000 0.0000  6 O 2.10-2.11
Mg 0.7505 0.7499 0.0000  6 O 2.10-2.11
Mg 0.5000 0.0000 0.5000  6 O 2.10-2.11
O 0.0000 0.7463 0.0000  5 Mg 2.07-2.12, 1 Zn 2.14
Zn 0.0000 0.0000 0.0000  6 O 2.13-2.14
O 0.0000 0.5000 0.2535  1 Fe 2.08, 5 Mg 2.09-2.13
Mg 0.2480 0.5000 0.7481  6 O 2.09-2.12
O 0.0000 0.2535 0.5000  1 Fe 2.08, 5 Mg 2.09-2.13
O 0.2496 0.2500 0.7500  6 Mg 2.10-2.11
Mg 0.7505 0.2501 0.0000  6 O 2.10-2.11
O 0.5000 0.7490 0.5000  6 Mg 2.10-2.12
Mg 0.7520 0.2519 0.5000  6 O 2.09-2.12
Mg 0.0000 0.2517 0.7483  6 O 2.09-2.12
O 0.0000 0.5000 0.7465  1 Fe 2.08, 5 Mg 2.09-2.13
Mg 0.2495 0.0000 0.7499  6 O 2.10-2.11